1.
The following is a DFT calculation (PBE) of a relaxed structure of BaZrSc3.

Lattice parameters (Å, degrees): 5.4601 5.4601 5.4601 90.00 90.00 90.00
With the nearest neighbours (Å) after each atom.
Atoms (fractional coordinates):
Zr  0.0000  0.0000  0.0000  6 Sc 2.73
Ba  0.5000  0.5000  0.5000  12 Sc 3.86
Sc  0.0000  0.5000  0.0000  2 Zr 2.73
Sc  0.0000  0.0000  0.5000  2 Zr 2.73
Sc  0.5000  0.0000  0.0000  2 Zr 2.73

- Distance to the lowest polymorph of the same formula: 0 meV/atom
- Space group: Pm-3m


2.
The following is a DFT calculation (PBE) of a relaxed structure of NpPaTcGe.

Lattice parameters (Å, degrees): 4.7805 4.7805 4.7805 60.00 60.00 60.00
With the nearest neighbours (Å) after each atom.
Atoms (fractional coordinates):
Np  0.5000  0.5000  0.5000  4 Ge 2.93, 4 Pa 2.93
Pa  0.2500  0.2500  0.2500  4 Tc 2.93, 4 Np 2.93
Ge  0.7500  0.7500  0.7500  4 Tc 2.93, 4 Np 2.93
Tc  0.0000  0.0000  0.0000  4 Ge 2.93, 4 Pa 2.93

- Space group: F-43m
- Total energy: -37.59 eV for the cell shown